No. 1
Below is PuV3 after structural relaxation, with properties calculated at the PBE level.

POSCAR file:
```
PuV3
1.0
4.4557 0.0000 0.0000
0.0000 4.4557 0.0000
0.0000 0.0000 3.0646
Pu V
1 3
Direct
0.0000 0.0000 0.0000 Pu
0.0000 0.5000 0.5000 V
0.5000 0.0000 0.5000 V
0.5000 0.5000 0.0000 V
```

Results
For the energy above the most stable polymorph in this dataset, the calculation gives 0.0683 eV/atom. For the formation energy, the calculation gives 0.262 eV/atom. The uncorrected energy is -40.64 eV/f.u.

=====

No. 2
Below is PuV2W after structural relaxation, with properties calculated at the PBE level.

POSCAR file:
```
PuV2W
1.0
3.0806 0.0000 0.0000
0.0000 3.0806 0.0000
0.0000 0.0000 6.9601
Pu V W
1 2 1
Direct
0.0000 0.0000 0.0000 Pu
0.5000 0.5000 0.2815 V
0.5000 0.5000 0.7185 V
0.0000 0.0000 0.5000 W
```

Results
For the energy above the most stable polymorph in this dataset, the calculation gives 0.0000 eV/atom. For the formation energy, the calculation gives 0.204 eV/atom. The uncorrected energy is -44.71 eV/f.u.

=====

No. 3
Below is PuV2W after structural relaxation, with properties calculated at the PBE level.

POSCAR file:
```
PuV2W
1.0
1.4935 0.8623 8.6654
-1.4935 0.8623 8.6654
0.0000 -1.7246 8.6654
Pu V W
1 2 1
Direct
0.0000 0.0000 0.0000 Pu
0.2421 0.2421 0.2421 V
0.7579 0.7579 0.7579 V
0.5000 0.5000 0.5000 W
```

Results
For the energy above the most stable polymorph in this dataset, the calculation gives 0.2085 eV/atom. For the formation energy, the calculation gives 0.412 eV/atom. The uncorrected energy is -43.87 eV/f.u.

=====

No. 4
Below is PuV2W after structural relaxation, with properties calculated at the PBE level.

POSCAR file:
```
PuV2W
1.0
0.0000 3.1782 3.1782
3.1782 0.0000 3.1782
3.1782 3.1782 0.0000
Pu V W
1 2 1
Direct
0.0000 0.0000 0.0000 Pu
0.2500 0.2500 0.2500 V
0.7500 0.7500 0.7500 V
0.5000 0.5000 0.5000 W
```

Results
For the energy above the most stable polymorph in this dataset, the calculation gives 0.0528 eV/atom. For the formation energy, the calculation gives 0.257 eV/atom. The uncorrected energy is -44.50 eV/f.u.

=====

No. 5
Below is PuV2W after structural relaxation, with properties calculated at the PBE level.

POSCAR file:
```
PuV2W
1.0
4.5823 0.0000 0.0000
0.0000 4.5823 0.0000
0.0000 0.0000 3.0454
Pu V W
1 2 1
Direct
0.0000 0.0000 0.0000 Pu
0.0000 0.5000 0.5000 V
0.5000 0.0000 0.5000 V
0.5000 0.5000 0.0000 W
```

Results
For the energy above the most stable polymorph in this dataset, the calculation gives 0.0877 eV/atom. For the formation energy, the calculation gives 0.292 eV/atom. The uncorrected energy is -44.36 eV/f.u.

=====

No. 6
Below is YPuV after structural relaxation, with properties calculated at the PBE level.

POSCAR file:
```
YPuV
1.0
3.2799 -3.2932 0.0000
3.2799 3.2932 0.0000
-1.6335 0.0000 6.7029
Y Pu V
2 2 2
Direct
0.2431 0.7569 0.0000 Y
0.7569 0.2431 0.0000 Y
0.0971 0.6268 0.4512 Pu
0.6268 0.0971 0.4512 Pu
0.2241 0.2241 0.7022 V
0.6269 0.6269 0.7035 V
```

Results
For the formation energy, the calculation gives 0.425 eV/atom. The uncorrected energy is -28.64 eV/f.u.

=====

No. 7
Below is PuVZn after structural relaxation, with properties calculated at the PBE level.

POSCAR file:
```
PuVZn
1.0
-1.2394 1.2394 7.7613
1.2394 -1.2394 7.7613
1.2394 1.2394 -7.7613
Pu V Zn
1 1 1
Direct
0.0000 0.0000 0.0000 Pu
0.1644 0.1644 0.0000 V
0.8028 0.8028 0.0000 Zn
```

Results
For the formation energy, the calculation gives 0.598 eV/atom. The uncorrected energy is -22.93 eV/f.u.

=====

No. 8
Below is Pu2VZn after structural relaxation, with properties calculated at the PBE level.

POSCAR file:
```
Pu2VZn
1.0
1.3227 0.7637 11.6727
-1.3227 0.7637 11.6727
0.0000 -1.5274 11.6727
Pu V Zn
2 1 1
Direct
0.0899 0.0899 0.0899 Pu
0.9101 0.9101 0.9101 Pu
0.5000 0.5000 0.5000 V
0.0000 0.0000 0.0000 Zn
```

Results
For the energy above the most stable polymorph in this dataset, the calculation gives 0.3213 eV/atom. For the formation energy, the calculation gives 0.509 eV/atom. The uncorrected energy is -37.02 eV/f.u.

=====

No. 9
Below is PuV2Zn after structural relaxation, with properties calculated at the PBE level.

POSCAR file:
```
PuV2Zn
1.0
4.3930 0.0000 0.0000
0.0000 4.3930 0.0000
0.0000 0.0000 3.1861
Pu V Zn
1 2 1
Direct
0.0000 0.0000 0.0000 Pu
0.0000 0.5000 0.5000 V
0.5000 0.0000 0.5000 V
0.5000 0.5000 0.0000 Zn
```

Results
For the formation energy, the calculation gives 0.202 eV/atom. The uncorrected energy is -33.04 eV/f.u.

=====

No. 10
Below is Pu2VZn after structural relaxation, with properties calculated at the PBE level.

POSCAR file:
```
Pu2VZn
1.0
4.1646 0.0000 0.0000
0.0000 4.1646 0.0000
0.0000 0.0000 4.4654
Pu V Zn
2 1 1
Direct
0.0000 0.5000 0.0000 Pu
0.5000 0.0000 0.0000 Pu
0.0000 0.0000 0.5000 V
0.5000 0.5000 0.5000 Zn
```

Results
For the energy above the most stable polymorph in this dataset, the calculation gives 0.0000 eV/atom. For the formation energy, the calculation gives 0.188 eV/atom. The uncorrected energy is -38.31 eV/f.u.

=====

No. 11
Below is PuZrV2 after structural relaxation, with properties calculated at the PBE level.

POSCAR file:
```
PuZrV2
1.0
3.2502 0.0000 0.0000
0.0000 3.2502 0.0000
0.0000 0.0000 6.7019
Pu Zr V
1 1 2
Direct
0.0000 0.0000 0.0000 Pu
0.0000 0.0000 0.5000 Zr
0.5000 0.5000 0.2197 V
0.5000 0.5000 0.7803 V
```

Results
For the formation energy, the calculation gives 0.241 eV/atom. The uncorrected energy is -40.15 eV/f.u.

=====

No. 12
Below is PuZr2V after structural relaxation, with properties calculated at the PBE level.

POSCAR file:
```
PuZr2V
1.0
3.2436 0.0000 0.0000
0.0000 3.2436 0.0000
0.0000 0.0000 8.1845
Pu Zr V
1 2 1
Direct
0.0000 0.0000 0.0000 Pu
0.5000 0.5000 0.2892 Zr
0.5000 0.5000 0.7108 Zr
0.0000 0.0000 0.5000 V
```

Results
For the energy above the most stable polymorph in this dataset, the calculation gives 0.0000 eV/atom. For the formation energy, the calculation gives 0.172 eV/atom. The uncorrected energy is -39.86 eV/f.u.

=====

No. 13
Below is PuZr2V after structural relaxation, with properties calculated at the PBE level.

POSCAR file:
```
PuZr2V
1.0
1.5667 0.9045 10.3987
-1.5667 0.9045 10.3987
0.0000 -1.8090 10.3987
Pu Zr V
1 2 1
Direct
0.0000 0.0000 0.0000 Pu
0.0971 0.0971 0.0971 Zr
0.9029 0.9029 0.9029 Zr
0.5000 0.5000 0.5000 V
```

Results
For the energy above the most stable polymorph in this dataset, the calculation gives 0.2466 eV/atom. For the formation energy, the calculation gives 0.419 eV/atom. The uncorrected energy is -38.87 eV/f.u.

=====

No. 14
Below is PuW4 after structural relaxation, with properties calculated at the PBE level.

POSCAR file:
```
PuW4
1.0
4.6718 0.0000 0.0000
0.0000 4.6718 0.0000
0.0000 0.0000 4.6718
Pu W
1 4
Direct
0.0000 0.0000 0.0000 Pu
0.0000 0.0000 0.5000 W
0.0000 0.5000 0.0000 W
0.5000 0.0000 0.0000 W
0.5000 0.5000 0.5000 W
```

Results
For the formation energy, the calculation gives 2.342 eV/atom. The uncorrected energy is -54.43 eV/f.u.

=====

No. 15
Below is YPu6 after structural relaxation, with properties calculated at the PBE level.

POSCAR file:
```
YPu6
1.0
-3.3454 3.3454 3.3454
3.3454 -3.3454 3.3454
3.3454 3.3454 -3.3454
Y Pu
1 6
Direct
0.0000 0.0000 0.0000 Y
0.2500 0.5000 0.7500 Pu
0.2500 0.7500 0.5000 Pu
0.5000 0.2500 0.7500 Pu
0.5000 0.7500 0.2500 Pu
0.7500 0.2500 0.5000 Pu
0.7500 0.5000 0.2500 Pu
```

Results
For the formation energy, the calculation gives 0.119 eV/atom. The uncorrected energy is -91.62 eV/f.u.